1.
Compound: Tl2CrW
Source: the Alexandria database
Functional: PBE-GGA
Structure: relaxed

Output
As for the energy above the most stable polymorph in this dataset: 717 meV/atom. As for the final energy: -5.5089 eV per atom. Its symmetry is I-42d. As for the formation energy from the elements: 1318 meV/atom. Its density of states at the Fermi level is 7.88 states/eV per cell. The size of the total moment comes out at 5.028 μB/cell.

Cell: 7.6571 7.6571 6.1490 Å, 51.49 51.49 90.00°
Last column: nearest neighbours and their distance in Å.
Fractional positions:
Cr 0.5000 0.5000 0.0000  4 Tl 2.77, 2 W 2.91
Cr 0.2500 0.7500 0.5000  4 Tl 2.77, 2 W 2.91
Tl 0.6184 0.1250 0.2500  2 Cr 2.77, 2 W 2.84, 2 Tl 2.92
Tl 0.1316 0.6250 0.2500  2 Cr 2.77, 2 W 2.84, 2 Tl 2.92
Tl 0.3750 0.3816 0.7500  2 Cr 2.77, 2 W 2.84, 2 Tl 2.92
Tl 0.8750 0.8684 0.7500  2 Cr 2.77, 2 W 2.84, 2 Tl 2.92
W 0.0000 0.0000 0.0000  4 Tl 2.84, 2 Cr 2.91
W 0.7500 0.2500 0.5000  4 Tl 2.84, 2 Cr 2.91

2.
Compound: TaCdTc
Source: the Alexandria database
Functional: PBE-GGA
Structure: relaxed

Output
As for the energy above the most stable polymorph in this dataset: 0 meV/atom. As for the final energy: -7.6418 eV per atom. Its symmetry is I4mm. As for the formation energy from the elements: 69 meV/atom. Its density of states at the Fermi level is 0.46 states/eV per cell. The size of the total moment comes out at 0.000 μB/cell.

Cell: 5.3683 5.3683 5.3683 Å, 143.74 143.74 52.22°
Last column: nearest neighbours and their distance in Å.
Fractional positions:
Cd 0.0024 0.0024 0.0000  5 Tc 2.96-3.04, 5 Ta 2.97-3.00
Ta 0.3103 0.3103 0.0000  4 Tc 2.64
Tc 0.6873 0.6873 0.0000  4 Ta 2.64, 4 Cd 2.96

3.
Compound: Al2In2PdPt5
Source: the Alexandria database
Functional: PBE-GGA
Structure: relaxed

Output
As for the final energy: -5.3115 eV per atom. Its symmetry is P4/mbm. As for the formation energy from the elements: -476 meV/atom. Its density of states at the Fermi level is 6.42 states/eV per cell. The size of the total moment comes out at 0.000 μB/cell.

Cell: 3.8131 9.3943 9.3943 Å, 90.00 90.00 90.00°
Last column: nearest neighbours and their distance in Å.
Fractional positions:
Al 0.0000 0.1270 0.6270  6 Pt 2.54-2.55, 1 In 2.64
Al 0.0000 0.8730 0.3730  6 Pt 2.54-2.55, 1 In 2.64
Al 0.0000 0.6270 0.8730  6 Pt 2.54-2.55, 1 In 2.64
Al 0.0000 0.3730 0.1270  6 Pt 2.54-2.55, 1 In 2.64
In 0.0000 0.6741 0.1741  3 Al 2.64-2.86
In 0.0000 0.3259 0.8259  3 Al 2.64-2.86
In 0.0000 0.1741 0.3259  3 Al 2.64-2.86
In 0.0000 0.8259 0.6741  3 Al 2.64-2.86
Pd 0.0000 0.0000 0.0000  8 Pt 2.79
Pd 0.0000 0.5000 0.5000  8 Pt 2.79
Pt 0.5000 0.2017 0.0790  2 Al 2.54, 2 Pd 2.79
Pt 0.5000 0.7983 0.9210  2 Al 2.54, 2 Pd 2.79
Pt 0.5000 0.0790 0.7983  2 Al 2.54, 2 Pd 2.79
Pt 0.5000 0.7017 0.4210  2 Al 2.54, 2 Pd 2.79
Pt 0.5000 0.9210 0.2017  2 Al 2.54, 2 Pd 2.79
Pt 0.5000 0.2983 0.5790  2 Al 2.54, 2 Pd 2.79
Pt 0.5000 0.5790 0.7017  2 Al 2.54, 2 Pd 2.79
Pt 0.5000 0.4210 0.2983  2 Al 2.54, 2 Pd 2.79
Pt 0.5000 0.5000 0.0000  4 Al 2.55
Pt 0.5000 0.0000 0.5000  4 Al 2.55